Density functional theory data (PBE-GGA) for an optimized crystal structure of NaSmInPb.

As for the energy relative to the lowest polymorph listed for this composition: 1.42 kcal/mol of atoms. The magnetization is 0.000 Bohr magnetons per cell.

It has space group F-43m (No. 216), with a = 7.668 Å, b = 7.668 Å, c = 7.668 Å, α = 90.00°, β = 90.00° and γ = 90.00°. The asymmetric unit holds Na at (0.000, 0.000, 0.000), Sm at (0.000, 0.000, 0.500), In at (0.250, 0.250, 0.750) and Pb at (0.250, 0.250, 0.250).

---

Density functional theory data (PBE-GGA) for an optimized crystal structure of NaInSn2Pb.

For the calculated total energy, the calculation gives -31.8 eV for the cell shown. The magnetization is 0.000 Bohr magnetons per cell.

It has space group P2_1/m (No. 11), with a = 8.152 Å, b = 3.455 Å, c = 10.922 Å, α = 90.00°, β = 109.70° and γ = 90.00°. The asymmetric unit holds Na at (0.096, 0.250, 0.186), In at (0.306, 0.750, 0.481), Sn at (0.116, 0.250, 0.646), Sn at (0.478, 0.750, 0.253) and Pb at (0.309, 0.250, 0.964).

---

Density functional theory data (PBE-GGA) for an optimized crystal structure of Na2InSnPb2.

For the calculated total energy, the calculation gives -68.7 eV for the cell shown. The magnetization is 0.000 Bohr magnetons per cell.

It has space group Cmcm (No. 63), with a = 16.040 Å, b = 7.671 Å, c = 5.879 Å, α = 90.00°, β = 90.00° and γ = 90.00°. The asymmetric unit holds Na at (0.117, 0.180, 0.250), In at (0.000, 0.500, 0.000), Sn at (0.000, 0.150, 0.750) and Pb at (0.180, 0.373, 0.750).

---

Density functional theory data (PBE-GGA) for an optimized crystal structure of Na2In2Sn2Pb.

For the calculated total energy, the calculation gives -60.9 eV for the cell shown. The magnetization is 0.000 Bohr magnetons per cell.

It has space group R-3m (No. 166, hexagonal axes), with a = 5.3023 Å, b = 5.3023 Å, c = 23.9453 Å, α = 90.00°, β = 90.00° and γ = 120.00°. The asymmetric unit holds Na at (0.0000, 0.0000, 0.1396), In at (0.0000, 0.0000, 0.4266), Sn at (0.0000, 0.0000, 0.2774) and Pb at (0.0000, 0.0000, 0.0000).

---

Density functional theory data (PBE-GGA) for an optimized crystal structure of NaInSnPb3.

For the calculated total energy, the calculation gives -39.1 eV for the cell shown. The magnetization is 0.000 Bohr magnetons per cell.

It has space group P2_1/m (No. 11), with a = 7.043 Å, b = 4.746 Å, c = 10.535 Å, α = 90.00°, β = 90.24° and γ = 90.00°. The asymmetric unit holds Na at (0.127, 0.250, 0.252), In at (0.363, 0.750, 0.745), Sn at (0.116, 0.250, 0.577), Pb at (0.125, 0.250, 0.915), Pb at (0.371, 0.750, 0.422) and Pb at (0.380, 0.750, 0.085).

---

Density functional theory data (PBE-GGA) for an optimized crystal structure of Na4In2SnPb2.

For the calculated total energy, the calculation gives -23.0 eV for the cell shown. The magnetization is 0.000 Bohr magnetons per cell.

It has space group P-1 (No. 2), with a = 6.166 Å, b = 6.776 Å, c = 7.215 Å, α = 71.93°, β = 69.18° and γ = 89.75°. The asymmetric unit holds Na at (0.129, 0.176, 0.274), Na at (0.317, 0.645, 0.360), In at (0.309, 0.611, 0.896), Sn at (0.500, 0.000, 0.500) and Pb at (0.111, 0.219, 0.805).

---

Density functional theory data (PBE-GGA) for an optimized crystal structure of NaIn2SnPb2.

For the calculated total energy, the calculation gives -36.9 eV for the cell shown. The magnetization is 0.000 Bohr magnetons per cell.

It has space group Pmc2_1 (No. 26), with a = 5.476 Å, b = 9.507 Å, c = 6.615 Å, α = 90.00°, β = 90.00° and γ = 90.00°. The asymmetric unit holds Na at (0.000, 0.004, 0.000), In at (0.000, 0.321, 0.298), In at (0.500, 0.156, 0.728), Sn at (0.500, 0.169, 0.224), Pb at (0.000, 0.337, 0.793) and Pb at (0.500, 0.497, 0.562).

---

Density functional theory data (PBE-GGA) for an optimized crystal structure of NaIn2SnPb.

For the calculated total energy, the calculation gives -57.1 eV for the cell shown. The magnetization is 0.000 Bohr magnetons per cell.

It has space group Cmcm (No. 63), with a = 4.316 Å, b = 18.173 Å, c = 8.216 Å, α = 90.00°, β = 90.00° and γ = 90.00°. The asymmetric unit holds Na at (0.000, 0.096, 0.250), In at (0.000, 0.333, 0.045), Sn at (0.000, 0.235, 0.750) and Pb at (0.000, 0.500, 0.000).